# 1
The following is a PBE calculation of an optimized crystal structure of GePtSeN2, from Alexandria via LeMat-Bulk.

Output
**Total DFT energy (no corrections)**: -5.089 eV per atom
**Magnetic moment**: 0.000 μB/atom
**E above lowest polymorph**: 0 meV per atom
**Formation energy (no corrections)**: 1.070 eV/atom
**Fermi-level density of states**: 3.679 states/eV per cell

Structure (CIF):
```
data_GePtSeN2
_chemical_formula_sum 'Ge1 Pt1 Se1 N2'
_cell_length_a 3.770
_cell_length_b 3.770
_cell_length_c 8.225
_cell_angle_alpha 90.00
_cell_angle_beta 90.00
_cell_angle_gamma 90.00
_symmetry_space_group_name_H-M 'P 4/m m m'
_symmetry_Int_Tables_number 123
_symmetry_space_group_name_Hall '-P 4 2'
loop_
_atom_site_label
_atom_site_type_symbol
_atom_site_fract_x
_atom_site_fract_y
_atom_site_fract_z
Ge1 Ge 0.000 0.000 0.000
Pt1 Pt 0.500 0.500 0.500
Se1 Se 0.500 0.500 0.000
N1 N 0.000 0.500 0.500
```

# 2
The following is a PBE calculation of an optimized crystal structure of SrGe2PtN, from Alexandria via LeMat-Bulk.

Output
**Total DFT energy (no corrections)**: -4.856 eV per atom
**Magnetic moment**: 0.000 μB/atom
**Formation energy (no corrections)**: 0.200 eV/atom
**Fermi-level density of states**: 3.539 states/eV per cell

Structure (CIF):
```
data_SrGe2PtN
_chemical_formula_sum 'Sr1 Ge2 Pt1 N1'
_cell_length_a 4.965
_cell_length_b 4.965
_cell_length_c 3.957
_cell_angle_alpha 90.00
_cell_angle_beta 90.00
_cell_angle_gamma 90.00
_symmetry_space_group_name_H-M 'P 4/m m m'
_symmetry_Int_Tables_number 123
_symmetry_space_group_name_Hall '-P 4 2'
loop_
_atom_site_label
_atom_site_type_symbol
_atom_site_fract_x
_atom_site_fract_y
_atom_site_fract_z
Sr1 Sr 0.000 0.000 0.000
Ge1 Ge 0.000 0.500 0.500
Pt1 Pt 0.500 0.500 0.000
N1 N 0.500 0.500 0.500
```

# 3
The following is a PBE calculation of an optimized crystal structure of SrGePt2N, from Alexandria via LeMat-Bulk.

Output
**Total DFT energy (no corrections)**: -4.547 eV per atom
**Magnetic moment**: 0.337 μB/atom
**Formation energy (no corrections)**: 0.794 eV/atom
**Fermi-level density of states**: 3.933 states/eV per cell

Structure (CIF):
```
data_SrGePt2N
_chemical_formula_sum 'Sr1 Ge1 Pt2 N1'
_cell_length_a 4.556
_cell_length_b 4.556
_cell_length_c 6.379
_cell_angle_alpha 90.00
_cell_angle_beta 90.00
_cell_angle_gamma 90.00
_symmetry_space_group_name_H-M 'P 4/m m m'
_symmetry_Int_Tables_number 123
_symmetry_space_group_name_Hall '-P 4 2'
loop_
_atom_site_label
_atom_site_type_symbol
_atom_site_fract_x
_atom_site_fract_y
_atom_site_fract_z
Sr1 Sr 0.000 0.000 0.000
Ge1 Ge 0.000 0.000 0.500
Pt1 Pt 0.000 0.500 0.500
N1 N 0.500 0.500 0.000
```

# 4
The following is a PBE calculation of an optimized crystal structure of Sr2GePtN, from Alexandria via LeMat-Bulk.

Output
**Total DFT energy (no corrections)**: -5.183 eV per atom
**Magnetic moment**: 0.000 μB/atom
**Formation energy (no corrections)**: -0.714 eV/atom
**Fermi-level density of states**: 4.508 states/eV per cell

Structure (CIF):
```
data_Sr2GePtN
_chemical_formula_sum 'Sr4 Ge2 Pt2 N2'
_cell_length_a 6.824
_cell_length_b 4.093
_cell_length_c 9.045
_cell_angle_alpha 90.00
_cell_angle_beta 111.50
_cell_angle_gamma 90.00
_symmetry_space_group_name_H-M 'P 1 21/m 1'
_symmetry_Int_Tables_number 11
_symmetry_space_group_name_Hall '-P 2yb'
loop_
_atom_site_label
_atom_site_type_symbol
_atom_site_fract_x
_atom_site_fract_y
_atom_site_fract_z
Sr1 Sr 0.177 0.250 0.378
Sr2 Sr 0.214 0.250 0.969
Ge1 Ge 0.477 0.750 0.271
Pt1 Pt 0.327 0.750 0.709
N1 N 0.187 0.750 0.166
```

# 5
The following is a PBE calculation of an optimized crystal structure of TcGePt2N, from Alexandria via LeMat-Bulk.

Output
**Total DFT energy (no corrections)**: -5.144 eV per atom
**Magnetic moment**: 0.499 μB/atom
**Formation energy (no corrections)**: 1.934 eV/atom
**Fermi-level density of states**: 3.906 states/eV per cell

Structure (CIF):
```
data_TcGePt2N
_chemical_formula_sum 'Tc1 Ge1 Pt2 N1'
_cell_length_a 4.808
_cell_length_b 4.808
_cell_length_c 4.881
_cell_angle_alpha 90.00
_cell_angle_beta 90.00
_cell_angle_gamma 90.00
_symmetry_space_group_name_H-M 'P 4/m m m'
_symmetry_Int_Tables_number 123
_symmetry_space_group_name_Hall '-P 4 2'
loop_
_atom_site_label
_atom_site_type_symbol
_atom_site_fract_x
_atom_site_fract_y
_atom_site_fract_z
Tc1 Tc 0.000 0.000 0.000
Ge1 Ge 0.000 0.000 0.500
Pt1 Pt 0.000 0.500 0.000
N1 N 0.500 0.500 0.500
```

# 6
The following is a PBE calculation of an optimized crystal structure of GeTePt2N, from Alexandria via LeMat-Bulk.

Output
**Total DFT energy (no corrections)**: -4.885 eV per atom
**Magnetic moment**: 0.000 μB/atom
**Formation energy (no corrections)**: 0.749 eV/atom
**Fermi-level density of states**: 3.381 states/eV per cell

Structure (CIF):
```
data_GeTePt2N
_chemical_formula_sum 'Ge1 Te1 Pt2 N1'
_cell_length_a 5.018
_cell_length_b 5.018
_cell_length_c 3.545
_cell_angle_alpha 90.00
_cell_angle_beta 90.00
_cell_angle_gamma 90.00
_symmetry_space_group_name_H-M 'P 4/m m m'
_symmetry_Int_Tables_number 123
_symmetry_space_group_name_Hall '-P 4 2'
loop_
_atom_site_label
_atom_site_type_symbol
_atom_site_fract_x
_atom_site_fract_y
_atom_site_fract_z
Ge1 Ge 0.000 0.000 0.000
Te1 Te 0.500 0.500 0.500
Pt1 Pt 0.000 0.500 0.000
N1 N 0.000 0.000 0.500
```

# 7
The following is a PBE calculation of an optimized crystal structure of Pu2GeN, from Alexandria via LeMat-Bulk.

Output
**Total DFT energy (no corrections)**: -11.108 eV per atom
**Magnetic moment**: 2.334 μB/atom
**E above lowest polymorph**: 0 meV per atom
**Formation energy (no corrections)**: -0.707 eV/atom
**Fermi-level density of states**: 53.810 states/eV per cell

Structure (CIF):
```
data_Pu2GeN
_chemical_formula_sum 'Pu8 Ge4 N4'
_cell_length_a 6.202
_cell_length_b 6.202
_cell_length_c 8.523
_cell_angle_alpha 90.00
_cell_angle_beta 90.05
_cell_angle_gamma 90.00
_symmetry_space_group_name_H-M 'C 1 2/m 1'
_symmetry_Int_Tables_number 12
_symmetry_space_group_name_Hall '-C 2y'
loop_
_atom_site_label
_atom_site_type_symbol
_atom_site_fract_x
_atom_site_fract_y
_atom_site_fract_z
Pu1 Pu 0.000 0.250 0.000
Pu2 Pu 0.249 0.000 0.645
Ge1 Ge 0.249 0.500 0.712
N1 N 0.250 0.000 0.896
```

# 8
The following is a PBE calculation of an optimized crystal structure of Pu3GeN3, from Alexandria via LeMat-Bulk.

Output
**Total DFT energy (no corrections)**: -11.306 eV per atom
**Magnetic moment**: 1.837 μB/atom
**Formation energy (no corrections)**: -0.936 eV/atom
**Fermi-level density of states**: 106.975 states/eV per cell

Structure (CIF):
```
data_Pu3GeN3
_chemical_formula_sum 'Pu18 Ge6 N18'
_cell_length_a 6.5609
_cell_length_b 6.5609
_cell_length_c 21.6110
_cell_angle_alpha 90.00
_cell_angle_beta 90.00
_cell_angle_gamma 120.00
_symmetry_space_group_name_H-M 'R -3'
_symmetry_Int_Tables_number 148
_symmetry_space_group_name_Hall '-R 3'
loop_
_atom_site_label
_atom_site_type_symbol
_atom_site_fract_x
_atom_site_fract_y
_atom_site_fract_z
Pu1 Pu 0.0020 0.3426 0.3969
Ge1 Ge 0.0000 0.0000 0.1663
N1 N 0.0044 0.3273 0.6260
```